# Th2ScGe3Pt4

Th2ScGe3Pt4 after structural relaxation (PBE-GGA, Alexandria).

Cell lengths 4.234, 4.234, 11.135 Å; angles 90.00, 90.00, 90.00 degrees
Sites, in units of the cell vectors:
Th  0.500  0.000  0.230
Th  0.000  0.500  0.770
Sc  0.500  0.500  0.500
Ge  0.000  0.000  0.500
Ge  0.500  0.000  0.870
Ge  0.000  0.500  0.130
Pt  0.500  0.500  0.000
Pt  0.000  0.000  0.000
Pt  0.500  0.000  0.648
Pt  0.000  0.500  0.352

Properties
**Crystal system**: tetragonal
**Space group**: P-4m2 (115)
**Formation energy from the elements**: -94.8 kJ per mole of atoms
**Density of states at the Fermi level**: 9.1 states/eV/f.u.